*a*
# PBE Zr6ZnIn, relaxed
data_Zr6ZnIn
_chemical_formula_sum 'Zr18 Zn3 In3'
_cell_length_a 7.8927
_cell_length_b 7.8927
_cell_length_c 9.6689
_cell_angle_alpha 90.00
_cell_angle_beta 90.00
_cell_angle_gamma 120.00
_symmetry_space_group_name_H-M 'R -3'
_symmetry_Int_Tables_number 148
_symmetry_space_group_name_Hall '-R 3'
loop_
_atom_site_label
_atom_site_type_symbol
_atom_site_fract_x
_atom_site_fract_y
_atom_site_fract_z
_atom_site_occupancy
Zr1 Zr 0.0025 0.7514 0.2505 1
Zn1 Zn 0.0000 0.0000 0.5000 1
In1 In 0.0000 0.0000 0.0000 1
# * volume: 521.6 Å³ per cell

---

*b*
# PBE Zr6ZnIn, relaxed
data_Zr6ZnIn
_chemical_formula_sum 'Zr6 Zn1 In1'
_cell_length_a 4.4255
_cell_length_b 4.4255
_cell_length_c 8.8171
_cell_angle_alpha 90.00
_cell_angle_beta 90.00
_cell_angle_gamma 90.00
_symmetry_space_group_name_H-M 'P 4/m m m'
_symmetry_Int_Tables_number 123
_symmetry_space_group_name_Hall '-P 4 2'
loop_
_atom_site_label
_atom_site_type_symbol
_atom_site_fract_x
_atom_site_fract_y
_atom_site_fract_z
_atom_site_occupancy
Zr1 Zr 0.0000 0.0000 0.0000 1
Zr2 Zr 0.0000 0.0000 0.5000 1
Zr3 Zr 0.0000 0.5000 0.2429 1
Zn1 Zn 0.5000 0.5000 0.0000 1
In1 In 0.5000 0.5000 0.5000 1
# * volume: 172.7 Å³ per cell

---

Best to worst by energy: *b*, *a*.

---

*a*
# PBE KIr5, relaxed
data_KIr5
_chemical_formula_sum 'K2 Ir10'
_cell_length_a 4.0115
_cell_length_b 12.2577
_cell_length_c 3.9685
_cell_angle_alpha 90.00
_cell_angle_beta 90.00
_cell_angle_gamma 90.00
_symmetry_space_group_name_H-M 'C m m m'
_symmetry_Int_Tables_number 65
_symmetry_space_group_name_Hall '-C 2 2'
loop_
_atom_site_label
_atom_site_type_symbol
_atom_site_fract_x
_atom_site_fract_y
_atom_site_fract_z
_atom_site_occupancy
K1 K 0.0000 0.0000 0.0000 1
Ir1 Ir 0.0000 0.1775 0.5000 1
Ir2 Ir 0.0000 0.3206 0.0000 1
Ir3 Ir 0.0000 0.5000 0.5000 1
# * volume: 195.1 Å³ per cell

---

*b*
# PBE KIr5, relaxed
data_KIr5
_chemical_formula_sum 'K2 Ir10'
_cell_length_a 4.2677
_cell_length_b 2.7398
_cell_length_c 19.5597
_cell_angle_alpha 90.00
_cell_angle_beta 90.00
_cell_angle_gamma 90.00
_symmetry_space_group_name_H-M 'A m m 2'
_symmetry_Int_Tables_number 38
loop_
_symmetry_equiv_pos_as_xyz
'x,y,z'
'-x,-y,z'
'-x,y,z'
'x,-y,z'
'x,y+1/2,z+1/2'
'-x,-y+1/2,z+1/2'
'-x,y+1/2,z+1/2'
'x,-y+1/2,z+1/2'
loop_
_atom_site_label
_atom_site_type_symbol
_atom_site_fract_x
_atom_site_fract_y
_atom_site_fract_z
_atom_site_occupancy
K1 K 0.0000 0.0000 0.0000 1
Ir1 Ir 0.0000 0.0000 0.3048 1
Ir2 Ir 0.0000 0.0000 0.6699 1
Ir3 Ir 0.5000 0.0000 0.1369 1
Ir4 Ir 0.5000 0.0000 0.3778 1
Ir5 Ir 0.5000 0.0000 0.7587 1
# * volume: 228.7 Å³ per cell

---

Best to worst by energy: *b*, *a*.

---

*a*
# PBE KIr5, relaxed
data_KIr5
_chemical_formula_sum 'K2 Ir10'
_cell_length_a 12.3749
_cell_length_b 2.7066
_cell_length_c 6.6317
_cell_angle_alpha 90.00
_cell_angle_beta 99.18
_cell_angle_gamma 90.00
_symmetry_space_group_name_H-M 'C 1 m 1'
_symmetry_Int_Tables_number 8
loop_
_symmetry_equiv_pos_as_xyz
'x,y,z'
'x,-y,z'
'x+1/2,y+1/2,z'
'x+1/2,-y+1/2,z'
loop_
_atom_site_label
_atom_site_type_symbol
_atom_site_fract_x
_atom_site_fract_y
_atom_site_fract_z
_atom_site_occupancy
K1 K 0.0000 0.0000 0.0000 1
Ir1 Ir 0.1317 0.5000 0.5066 1
Ir2 Ir 0.2292 0.5000 0.9247 1
Ir3 Ir 0.2640 0.0000 0.2578 1
Ir4 Ir 0.3136 0.0000 0.6488 1
Ir5 Ir 0.4510 0.5000 0.4554 1
# * volume: 219.3 Å³ per cell

---

*b*
# PBE KIr5, relaxed
data_KIr5
_chemical_formula_sum 'K1 Ir5'
_cell_length_a 5.4100
_cell_length_b 5.4100
_cell_length_c 4.2795
_cell_angle_alpha 90.00
_cell_angle_beta 90.00
_cell_angle_gamma 120.00
_symmetry_space_group_name_H-M 'P 6/m m m'
_symmetry_Int_Tables_number 191
_symmetry_space_group_name_Hall '-P 6 2'
loop_
_atom_site_label
_atom_site_type_symbol
_atom_site_fract_x
_atom_site_fract_y
_atom_site_fract_z
_atom_site_occupancy
K1 K 0.0000 0.0000 0.0000 1
Ir1 Ir 0.0000 0.5000 0.5000 1
Ir2 Ir 0.3333 0.6667 0.0000 1
# * volume: 108.5 Å³ per cell

---

Best to worst by energy: *a*, *b*.

---

*a*
# PBE K3Ir2, relaxed
data_K3Ir2
_chemical_formula_sum 'K9 Ir6'
_cell_length_a 5.5958
_cell_length_b 5.5958
_cell_length_c 17.3506
_cell_angle_alpha 90.00
_cell_angle_beta 90.00
_cell_angle_gamma 120.00
_symmetry_space_group_name_H-M 'R -3 m'
_symmetry_Int_Tables_number 166
_symmetry_space_group_name_Hall '-R 3 2"'
loop_
_atom_site_label
_atom_site_type_symbol
_atom_site_fract_x
_atom_site_fract_y
_atom_site_fract_z
_atom_site_occupancy
K1 K 0.0000 0.0000 0.0000 1
K2 K 0.0000 0.0000 0.2146 1
Ir1 Ir 0.0000 0.0000 0.4321 1
# * volume: 470.5 Å³ per cell

---

*b*
# PBE K3Ir2, relaxed
data_K3Ir2
_chemical_formula_sum 'K3 Ir2'
_cell_length_a 4.8704
_cell_length_b 4.8704
_cell_length_c 9.9308
_cell_angle_alpha 90.00
_cell_angle_beta 90.00
_cell_angle_gamma 120.00
_symmetry_space_group_name_H-M 'P -3 m 1'
_symmetry_Int_Tables_number 164
_symmetry_space_group_name_Hall '-P 3 2"'
loop_
_atom_site_label
_atom_site_type_symbol
_atom_site_fract_x
_atom_site_fract_y
_atom_site_fract_z
_atom_site_occupancy
K1 K 0.0000 0.0000 0.0000 1
K2 K 0.3333 0.6667 0.2945 1
Ir1 Ir 0.3333 0.6667 0.9866 1
# * volume: 204.0 Å³ per cell

---

Best to worst by energy: *a*, *b*.

---

*a*
# PBE KIr4, relaxed
data_KIr4
_chemical_formula_sum 'K2 Ir8'
_cell_length_a 5.7762
_cell_length_b 5.7762
_cell_length_c 5.7762
_cell_angle_alpha 90.00
_cell_angle_beta 90.00
_cell_angle_gamma 90.00
_symmetry_space_group_name_H-M 'I m -3 m'
_symmetry_Int_Tables_number 229
_symmetry_space_group_name_Hall '-I 4 2 3'
loop_
_atom_site_label
_atom_site_type_symbol
_atom_site_fract_x
_atom_site_fract_y
_atom_site_fract_z
_atom_site_occupancy
K1 K 0.0000 0.0000 0.0000 1
Ir1 Ir 0.2500 0.2500 0.2500 1
# * volume: 192.7 Å³ per cell

---

*b*
# PBE KIr4, relaxed
data_KIr4
_chemical_formula_sum 'K2 Ir8'
_cell_length_a 4.2288
_cell_length_b 4.2288
_cell_length_c 10.7314
_cell_angle_alpha 90.00
_cell_angle_beta 90.00
_cell_angle_gamma 90.00
_symmetry_space_group_name_H-M 'I 4/m m m'
_symmetry_Int_Tables_number 139
_symmetry_space_group_name_Hall '-I 4 2'
loop_
_atom_site_label
_atom_site_type_symbol
_atom_site_fract_x
_atom_site_fract_y
_atom_site_fract_z
_atom_site_occupancy
K1 K 0.0000 0.0000 0.0000 1
Ir1 Ir 0.0000 0.0000 0.3888 1
Ir2 Ir 0.0000 0.5000 0.2500 1
# * volume: 191.9 Å³ per cell

---

*c*
# PBE KIr4, relaxed
data_KIr4
_chemical_formula_sum 'K1 Ir4'
_cell_length_a 4.5739
_cell_length_b 4.5739
_cell_length_c 4.5739
_cell_angle_alpha 90.00
_cell_angle_beta 90.00
_cell_angle_gamma 90.00
_symmetry_space_group_name_H-M 'P m -3 m'
_symmetry_Int_Tables_number 221
_symmetry_space_group_name_Hall '-P 4 2 3'
loop_
_atom_site_label
_atom_site_type_symbol
_atom_site_fract_x
_atom_site_fract_y
_atom_site_fract_z
_atom_site_occupancy
K1 K 0.0000 0.0000 0.0000 1
Ir1 Ir 0.0000 0.0000 0.5000 1
Ir2 Ir 0.5000 0.5000 0.5000 1
# * volume: 95.7 Å³ per cell

---

Best to worst by energy: *b*, *a*, *c*.

---

*a*
# PBE KLa2Ir, relaxed
data_KLa2Ir
_chemical_formula_sum 'K1 La2 Ir1'
_cell_length_a 4.1287
_cell_length_b 4.1287
_cell_length_c 9.8962
_cell_angle_alpha 90.00
_cell_angle_beta 90.00
_cell_angle_gamma 90.00
_symmetry_space_group_name_H-M 'P 4 m m'
_symmetry_Int_Tables_number 99
loop_
_symmetry_equiv_pos_as_xyz
'x,y,z'
'-y,x,z'
'-x,-y,z'
'y,-x,z'
'-x,y,z'
'y,x,z'
'x,-y,z'
'-y,-x,z'
loop_
_atom_site_label
_atom_site_type_symbol
_atom_site_fract_x
_atom_site_fract_y
_atom_site_fract_z
_atom_site_occupancy
K1 K 0.0000 0.0000 0.0000 1
La1 La 0.0000 0.0000 0.6126 1
La2 La 0.5000 0.5000 0.3493 1
Ir1 Ir 0.5000 0.5000 0.6141 1
# * volume: 168.7 Å³ per cell

---

*b*
# PBE KLa2Ir, relaxed
data_KLa2Ir
_chemical_formula_sum 'K4 La8 Ir4'
_cell_length_a 7.5522
_cell_length_b 7.5522
_cell_length_c 7.5522
_cell_angle_alpha 90.00
_cell_angle_beta 90.00
_cell_angle_gamma 90.00
_symmetry_space_group_name_H-M 'F -4 3 m'
_symmetry_Int_Tables_number 216
_symmetry_space_group_name_Hall 'F -4 2 3'
loop_
_atom_site_label
_atom_site_type_symbol
_atom_site_fract_x
_atom_site_fract_y
_atom_site_fract_z
_atom_site_occupancy
K1 K 0.0000 0.0000 0.0000 1
La1 La 0.0000 0.0000 0.5000 1
La2 La 0.2500 0.2500 0.7500 1
Ir1 Ir 0.2500 0.2500 0.2500 1
# * volume: 430.8 Å³ per cell

---

Best to worst by energy: *a*, *b*.